The following is a GGA-PBE calculation of a relaxed TiGaP2Br crystal, from the Alexandria database.

Calculated values
As for the density of states at the Fermi level: 6.82 states/eV/f.u. The crystal system is tetragonal. The electronic total energy is -3.458 eV/atom. For the raw formation energy, the calculation gives 1.2246 eV per atom. The symmetry is No. 123.

POSCAR file:
```
TiGaP2Br
1.0
-1.829 3.470 -2.741
-3.462 -3.160 -1.690
-2.915 1.284 3.571
P Ga Br Ti
2 1 1 1
Direct
0.000 0.000 0.500 P
0.500 0.000 0.000 P
0.000 0.500 0.000 Ga
0.000 0.000 0.000 Br
0.500 0.500 0.500 Ti
```